Here is a relaxed TbHoGe crystal from Alexandria. Energies are from PBE-GGA.

## Properties
* formation energy from the elements: -0.536 eV/atom
* symmetry: F-43m
* crystal system: cubic
* density of states at the Fermi level: 2.7 states/eV/cell
* final energy: -5.1444 eV per atom
* volume: 82.2 Å³/cell

abc: 4.8797 4.8797 4.8797
angles: 60.00 60.00 60.00
Atoms (fractional coordinates):
1 Ge 0.2500 0.2500 0.2500
2 Ho 0.5000 0.5000 0.5000
3 Tb 0.0000 0.0000 0.0000